VASP calculation (PBE) on a relaxed structure of PmThIn. Values from VASP.

```
&SYSTEM
  ibrav = 0, nat = 3, ntyp = 3
/
ATOMIC_SPECIES
Pm 145.00 Pm.upf
Th 232.04 Th.upf
In 114.82 In.upf
CELL_PARAMETERS angstrom
5.3877 0.0000 0.0000
-2.6939 4.6659 0.0000
0.0000 0.0000 3.6395
ATOMIC_POSITIONS crystal
Pm 0.0000 0.0000 0.0000
Th 0.3333 0.6667 0.4346
In 0.6667 0.3333 0.7478
```

Output
ΔE_f, eV/atom: -0.06
Total magnetic moment, μB/f.u.: 0.0
Space group: P3m1
E, eV/atom: -5.030


VASP calculation (PBE) on a relaxed structure of Pm12Th5In3. Values from VASP.

```
&SYSTEM
  ibrav = 0, nat = 80, ntyp = 3
/
ATOMIC_SPECIES
Pm 145.00 Pm.upf
Th 232.04 Th.upf
In 114.82 In.upf
CELL_PARAMETERS angstrom
-9.1706 9.1706 9.1706
9.1706 -9.1706 9.1706
9.1706 9.1706 -9.1706
ATOMIC_POSITIONS crystal
Pm 0.0698 0.2344 0.1466
Pm 0.0698 0.3354 0.9232
Pm 0.0768 0.6466 0.4122
Pm 0.0768 0.9302 0.6646
Pm 0.0878 0.7344 0.6646
Pm 0.0878 0.8534 0.4232
Pm 0.1466 0.0698 0.2344
Pm 0.1466 0.5768 0.9122
Pm 0.1646 0.2344 0.5878
Pm 0.1646 0.4302 0.5768
Pm 0.2344 0.1466 0.0698
Pm 0.2344 0.5878 0.1646
Pm 0.2656 0.3354 0.9122
Pm 0.2656 0.4302 0.3534
Pm 0.3354 0.9122 0.2656
Pm 0.3354 0.9232 0.0698
Pm 0.3534 0.2656 0.4302
Pm 0.3534 0.5878 0.9232
Pm 0.4122 0.0768 0.6466
Pm 0.4122 0.8354 0.7656
Pm 0.4232 0.0878 0.8534
Pm 0.4232 0.8354 0.5698
Pm 0.4302 0.3534 0.2656
Pm 0.4302 0.5768 0.1646
Pm 0.5698 0.4232 0.8354
Pm 0.5698 0.6466 0.7344
Pm 0.5768 0.1646 0.4302
Pm 0.5768 0.9122 0.1466
Pm 0.5878 0.1646 0.2344
Pm 0.5878 0.9232 0.3534
Pm 0.6466 0.4122 0.0768
Pm 0.6466 0.7344 0.5698
Pm 0.6646 0.0768 0.9302
Pm 0.6646 0.0878 0.7344
Pm 0.7344 0.5698 0.6466
Pm 0.7344 0.6646 0.0878
Pm 0.7656 0.4122 0.8354
Pm 0.7656 0.8534 0.9302
Pm 0.8354 0.5698 0.4232
Pm 0.8354 0.7656 0.4122
Pm 0.8534 0.4232 0.0878
Pm 0.8534 0.9302 0.7656
Pm 0.9122 0.1466 0.5768
Pm 0.9122 0.2656 0.3354
Pm 0.9232 0.0698 0.3354
Pm 0.9232 0.3534 0.5878
Pm 0.9302 0.6646 0.0768
Pm 0.9302 0.7656 0.8534
Th 0.0000 0.0000 0.0000
Th 0.0000 0.0000 0.5000
Th 0.0000 0.5000 0.0000
Th 0.0000 0.5000 0.5000
Th 0.1250 0.7500 0.8750
Th 0.1250 0.8750 0.2500
Th 0.2500 0.1250 0.8750
Th 0.2500 0.6250 0.3750
Th 0.3750 0.2500 0.6250
Th 0.3750 0.6250 0.7500
Th 0.5000 0.0000 0.0000
Th 0.5000 0.0000 0.5000
Th 0.5000 0.5000 0.0000
Th 0.5000 0.5000 0.5000
Th 0.6250 0.3750 0.2500
Th 0.6250 0.7500 0.3750
Th 0.7500 0.3750 0.6250
Th 0.7500 0.8750 0.1250
Th 0.8750 0.1250 0.7500
Th 0.8750 0.2500 0.1250
In 0.1250 0.2500 0.3750
In 0.1250 0.3750 0.7500
In 0.2500 0.3750 0.1250
In 0.2500 0.8750 0.6250
In 0.3750 0.1250 0.2500
In 0.3750 0.7500 0.1250
In 0.6250 0.2500 0.8750
In 0.6250 0.8750 0.7500
In 0.7500 0.1250 0.3750
In 0.7500 0.6250 0.8750
In 0.8750 0.6250 0.2500
In 0.8750 0.7500 0.6250
```

Output
ΔE_f, eV/atom: 0.84
Total magnetic moment, μB/f.u.: 0.0
Space group: Ia-3d
E, eV/atom: -4.278


VASP calculation (PBE) on a relaxed structure of Pm2ThZn2In2. Values from VASP.

```
&SYSTEM
  ibrav = 0, nat = 7, ntyp = 4
/
ATOMIC_SPECIES
Pm 145.00 Pm.upf
Th 232.04 Th.upf
Zn 65.41 Zn.upf
In 114.82 In.upf
CELL_PARAMETERS angstrom
2.3664 1.3662 9.5867
-2.3664 1.3662 9.5867
0.0000 -2.7325 9.5867
ATOMIC_POSITIONS crystal
Pm 0.1277 0.1277 0.1277
Pm 0.8723 0.8723 0.8723
Th 0.0000 0.0000 0.0000
Zn 0.3938 0.3938 0.3938
Zn 0.6062 0.6062 0.6062
In 0.2626 0.2626 0.2626
In 0.7374 0.7374 0.7374
```

Output
ΔE_f, eV/atom: -0.23
Total magnetic moment, μB/f.u.: 0.0
Space group: R-3m
E, eV/atom: -3.795


VASP calculation (PBE) on a relaxed structure of PmThZnIn. Values from VASP.

```
&SYSTEM
  ibrav = 0, nat = 4, ntyp = 4
/
ATOMIC_SPECIES
Pm 145.00 Pm.upf
Th 232.04 Th.upf
Zn 65.41 Zn.upf
In 114.82 In.upf
CELL_PARAMETERS angstrom
0.0000 3.7794 3.7794
3.7794 0.0000 3.7794
3.7794 3.7794 0.0000
ATOMIC_POSITIONS crystal
Pm 0.0000 0.0000 0.0000
Th 0.5000 0.5000 0.5000
Zn 0.2500 0.2500 0.2500
In 0.7500 0.7500 0.7500
```

Output
ΔE_f, eV/atom: -0.28
Total magnetic moment, μB/f.u.: 0.0
Space group: F-43m
E, eV/atom: -4.321


VASP calculation (PBE) on a relaxed structure of PmTiIn2. Values from VASP.

```
&SYSTEM
  ibrav = 0, nat = 4, ntyp = 3
/
ATOMIC_SPECIES
Pm 145.00 Pm.upf
Ti 47.87 Ti.upf
In 114.82 In.upf
CELL_PARAMETERS angstrom
3.6607 0.0000 0.0000
0.0000 3.6607 0.0000
0.0000 0.0000 7.1258
ATOMIC_POSITIONS crystal
Pm 0.0000 0.0000 0.0000
Ti 0.0000 0.0000 0.5000
In 0.5000 0.5000 0.2887
In 0.5000 0.5000 0.7113
```

Output
ΔE_f, eV/atom: -0.22
Total magnetic moment, μB/f.u.: 1.0
Space group: P4/mmm
E, eV/atom: -4.752


VASP calculation (PBE) on a relaxed structure of PmTiIn2. Values from VASP.

```
&SYSTEM
  ibrav = 0, nat = 4, ntyp = 3
/
ATOMIC_SPECIES
Pm 145.00 Pm.upf
Ti 47.87 Ti.upf
In 114.82 In.upf
CELL_PARAMETERS angstrom
1.6638 0.9606 10.2111
-1.6638 0.9606 10.2111
0.0000 -1.9211 10.2111
ATOMIC_POSITIONS crystal
Pm 0.0000 0.0000 0.0000
Ti 0.5000 0.5000 0.5000
In 0.2417 0.2417 0.2417
In 0.7583 0.7583 0.7583
```

Output
ΔE_f, eV/atom: -0.05
Total magnetic moment, μB/f.u.: 0.8
Space group: R-3m
E, eV/atom: -4.582